1.
Computed, not measured: an optimized crystal structure of TlPd2F8 at the PBE level of DFT.

Geometry as CIF:
```
data_TlPd2F8
_space_group_name_H-M_alt 'P 1'
_space_group_IT_number 1
_space_group_name_Hall 'P 1'
_cell_length_a 7.194
_cell_length_b 7.194
_cell_length_c 4.122
_cell_angle_alpha 96.24
_cell_angle_beta 96.24
_cell_angle_gamma 55.16
loop_
_atom_site_label
_atom_site_type_symbol
_atom_site_fract_x
_atom_site_fract_y
_atom_site_fract_z
_atom_site_occupancy
Tl1 Tl 0.000 0.000 0.000 1
Pd1 Pd 0.233 0.233 0.738 1
Pd2 Pd 0.767 0.767 0.262 1
F1 F 0.094 0.717 0.279 1
F2 F 0.214 0.214 0.233 1
F3 F 0.283 0.906 0.721 1
F4 F 0.384 0.384 0.770 1
F5 F 0.616 0.616 0.230 1
F6 F 0.717 0.094 0.279 1
F7 F 0.786 0.786 0.767 1
F8 F 0.906 0.283 0.721 1
```

Calculated values
The space-group type is C2/m, No. 12. For the distance to the lowest polymorph of the same formula, the calculation gives 0.228 eV per atom. The density of states at the Fermi level comes out at 4.83 states/eV/f.u. The formation energy from raw total energies is -1.150 eV/atom.



2.
Computed, not measured: an optimized crystal structure of MgZnF4 at the PBE level of DFT.

Geometry as CIF:
```
data_MgZnF4
_space_group_name_H-M_alt 'P 1'
_space_group_IT_number 1
_space_group_name_Hall 'P 1'
_cell_length_a 5.190
_cell_length_b 4.710
_cell_length_c 5.699
_cell_angle_alpha 90.00
_cell_angle_beta 90.00
_cell_angle_gamma 90.00
loop_
_atom_site_label
_atom_site_type_symbol
_atom_site_fract_x
_atom_site_fract_y
_atom_site_fract_z
_atom_site_occupancy
Mg1 Mg 0.000 0.000 0.000 1
Mg2 Mg 0.000 0.500 0.500 1
Zn1 Zn 0.500 0.000 0.318 1
Zn2 Zn 0.500 0.500 0.818 1
F1 F 0.161 0.232 0.269 1
F2 F 0.161 0.268 0.769 1
F3 F 0.327 0.726 0.541 1
F4 F 0.327 0.774 0.041 1
F5 F 0.673 0.226 0.041 1
F6 F 0.673 0.274 0.541 1
F7 F 0.839 0.732 0.769 1
F8 F 0.839 0.768 0.269 1
```

Calculated values
The space-group type is Pnc2, No. 30. For the distance to the lowest polymorph of the same formula, the calculation gives 0.000 eV per atom. The density of states at the Fermi level comes out at 0.00 states/eV/f.u. The formation energy from raw total energies is -2.924 eV/atom.